(1)
# PBE with a Hubbard U LiMnBi2O6, relaxed
# space-group type	No. 146
# VASP energy	-60.191	eV/cell
# DOS at the Fermi energy	0.647	states/eV/cell
data_LiMnBi2O6
_chemical_formula_sum 'Li1 Mn1 Bi2 O6'
_cell_length_a 5.7367
_cell_length_b 5.7367
_cell_length_c 5.7367
_cell_angle_alpha 57.59
_cell_angle_beta 57.59
_cell_angle_gamma 57.59
_space_group_name_H-M_alt 'P 1'
_space_group_IT_number 1
_space_group_name_Hall 'P 1'
loop_
_atom_site_label
_atom_site_type_symbol
_atom_site_fract_x
_atom_site_fract_y
_atom_site_fract_z
_atom_site_occupancy
Li1 Li 0.0000 0.0000 0.0000 1
Mn1 Mn 0.4790 0.4790 0.4790 1
Bi1 Bi 0.2654 0.2654 0.2654 1
Bi2 Bi 0.7773 0.7773 0.7773 1
O1 O 0.1402 0.3480 0.6885 1
O2 O 0.2230 0.7955 0.6304 1
O3 O 0.3480 0.6885 0.1402 1
O4 O 0.6304 0.2230 0.7955 1
O5 O 0.6885 0.1402 0.3480 1
O6 O 0.7955 0.6304 0.2230 1



(2)
# PBE with a Hubbard U LiMnBiO3, relaxed
# space-group type	No. 11
# VASP energy	-73.420	eV/cell
data_LiMnBiO3
_chemical_formula_sum 'Li2 Mn2 Bi2 O6'
_cell_length_a 6.1073
_cell_length_b 3.3319
_cell_length_c 8.0217
_cell_angle_alpha 90.00
_cell_angle_beta 109.03
_cell_angle_gamma 90.00
_space_group_name_H-M_alt 'P 1'
_space_group_IT_number 1
_space_group_name_Hall 'P 1'
loop_
_atom_site_label
_atom_site_type_symbol
_atom_site_fract_x
_atom_site_fract_y
_atom_site_fract_z
_atom_site_occupancy
Li1 Li 0.1597 0.2500 0.0767 1
Li2 Li 0.8403 0.7500 0.9233 1
Mn1 Mn 0.3007 0.7500 0.3736 1
Mn2 Mn 0.6993 0.2500 0.6264 1
Bi1 Bi 0.2934 0.7500 0.7925 1
Bi2 Bi 0.7066 0.2500 0.2075 1
O1 O 0.0293 0.2500 0.8251 1
O2 O 0.3177 0.2500 0.5358 1
O3 O 0.3903 0.7500 0.1029 1
O4 O 0.6097 0.2500 0.8971 1
O5 O 0.6823 0.7500 0.4642 1
O6 O 0.9707 0.7500 0.1749 1